Entry 1:
Material: CsLuFeS3
Method: DFT, PBE-GGA
State: relaxed

a = 10.288 Å, b = 3.955 Å, c = 15.590 Å
α = 90.00°, β = 90.00°, γ = 90.00°
Space group Pnma (No. 62)
Symmetry-distinct sites (fractional):
Cs  0.238  0.250  0.009 x4
Lu  0.014  0.750  0.253 x4
Fe  0.236  0.750  0.781 x4
S  0.047  0.750  0.858 x4
S  0.078  0.250  0.362 x4
S  0.237  0.250  0.697 x4

Summary:
Density (g/cm3): 4.82
Offset from the most stable computed form (eV/f.u.): 0.052
M_tot (μB per formula unit): 4.0
E_tot (eV for the cell shown): -136.446


Entry 2:
Material: TbSmTlNi2
Method: DFT, PBE-GGA
State: relaxed

a = 3.720 Å, b = 3.932 Å, c = 14.513 Å
α = 90.00°, β = 90.00°, γ = 90.00°
Space group Amm2 (No. 38)
Symmetry-distinct sites (fractional):
Tb  0.000  0.000  0.000 x2
Sm  0.000  0.000  0.723 x2
Tl  0.500  0.000  0.363 x2
Ni  0.500  0.000  0.158 x2
Ni  0.500  0.000  0.561 x2

Summary:
Density (g/cm3): 9.87
M_tot (μB per formula unit): 0.0
E_tot (eV for the cell shown): -50.199


Entry 3:
Material: LuSiIr
Method: DFT, PBE-GGA
State: relaxed

a = 6.7180 Å, b = 6.7180 Å, c = 3.9143 Å
α = 90.00°, β = 90.00°, γ = 120.00°
Space group P-62m (No. 189)
Symmetry-distinct sites (fractional):
Lu  0.0000  0.5808  0.0000 x3
Si  0.0000  0.0000  0.0000 x1
Si  0.3333  0.6667  0.5000 x2
Ir  0.0000  0.2434  0.5000 x3

Summary:
Density (g/cm3): 12.87
M_tot (μB per formula unit): 0.0
E_tot (eV for the cell shown): -65.942


Entry 4:
Material: CsK2NbTe4
Method: DFT, PBE-GGA
State: relaxed

a = 8.636 Å, b = 8.636 Å, c = 9.310 Å
α = 90.00°, β = 90.00°, γ = 90.00°
Space group I-42m (No. 121)
Symmetry-distinct sites (fractional):
Cs  0.000  0.000  0.000 x2
K  0.000  0.500  0.000 x4
Nb  0.000  0.000  0.500 x2
Te  0.177  0.177  0.336 x8

Summary:
Density (g/cm3): 3.90
M_tot (μB per formula unit): 0.0
E_tot (eV for the cell shown): -64.123


Entry 5:
Material: YTa3C
Method: DFT, PBE-GGA
State: relaxed

a = 4.453 Å, b = 4.453 Å, c = 4.453 Å
α = 90.00°, β = 90.00°, γ = 90.00°
Space group Pm-3m (No. 221)
Symmetry-distinct sites (fractional):
Y  0.000  0.000  0.000 x1
Ta  0.000  0.500  0.500 x3
C  0.500  0.500  0.500 x1

Summary:
Density (g/cm3): 12.10
M_tot (μB per formula unit): 0.0
E_tot (eV for the cell shown): -51.014


Entry 6:
Material: NbMoPb
Method: DFT, PBE-GGA
State: relaxed

a = 6.506 Å, b = 6.506 Å, c = 6.506 Å
α = 90.00°, β = 90.00°, γ = 90.00°
Space group F-43m (No. 216)
Symmetry-distinct sites (fractional):
Nb  0.000  0.000  0.000 x4
Mo  0.250  0.250  0.750 x4
Pb  0.250  0.250  0.250 x4

Summary:
Density (g/cm3): 9.55
M_tot (μB per formula unit): 0.0
E_tot (eV for the cell shown): -86.679


What is the E_tot in the third record?
-65.942 eV for the cell shown


The lowest E_tot belongs to which entry?
CsLuFeS3


What did the fifth record say?
Material: YTa3C
Method: DFT, PBE-GGA
State: relaxed

a = 4.453 Å, b = 4.453 Å, c = 4.453 Å
α = 90.00°, β = 90.00°, γ = 90.00°
Space group Pm-3m (No. 221)
Symmetry-distinct sites (fractional):
Y  0.000  0.000  0.000 x1
Ta  0.000  0.500  0.500 x3
C  0.500  0.500  0.500 x1

Summary:
Density (g/cm3): 12.10
M_tot (μB per formula unit): 0.0
E_tot (eV for the cell shown): -51.014